# 1
MgScCu at its PBEsol-relaxed geometry. Source: Alexandria, functional meta-GGA SCAN.

Calculated values
V (Å³/atom): 18.24
Energy relative to the elements (eV/f.u.): -0.52
E_tot (eV per cell): -34.93

The structure in POSCAR format:
```
MgScCu
1.0
-1.4268 2.0113 -1.9391
1.6225 -1.1755 -2.4134
-4.1294 -4.1423 1.2830
Sc Mg Cu
1 1 1
Direct
0.6423 0.6423 0.2847
0.3572 0.3572 0.7142
0.0007 0.0007 0.0012
```

# 2
MgScCu at its PBEsol-relaxed geometry. Source: Alexandria, functional meta-GGA SCAN.

Calculated values
V (Å³/atom): 21.61
Energy relative to the elements (eV/f.u.): 1.76
E_tot (eV per cell): -32.65

The structure in POSCAR format:
```
MgScCu
1.0
4.5093 0.0000 0.0000
2.2547 3.9052 0.0000
2.2547 1.3017 3.6818
Cu Mg Sc
1 1 1
Direct
0.0000 0.0000 0.0000
0.5000 0.5000 0.5000
0.7500 0.7500 0.7500
```